Entry 1:
Mg4InPd2 | PBE | optimized geometry

The structure in extended XYZ format:
```
14
Lattice="2.344 -4.058 0.000 2.344 4.058 0.000 0.000 0.000 14.264" Properties=species:S:1:pos:R:3 pbc="T T T"
Mg 0.000 0.000 0.000
Mg 0.000 0.000 7.132
Mg 2.344 1.357 8.927
Mg 2.344 1.357 12.470
Mg 2.344 1.345 3.566
Mg 2.344 -1.345 10.698
Mg 2.344 -1.357 1.794
Mg 2.344 -1.357 5.338
In 2.344 4.051 3.566
In 2.344 -4.051 10.698
Pd 2.344 1.351 0.848
Pd 2.344 1.351 6.284
Pd 2.344 -1.351 7.980
Pd 2.344 -1.351 13.416
```

Calculated values
- Distance to the lowest polymorph of the same formula: 0 kJ/mol of formula units
- Energy relative to the elements: -0.40 eV/atom
- Crystal system: orthorhombic
- Space group: No. 63
- Density of states at the Fermi level: 0.386 states/eV per atom

=====

Entry 2:
MgInPd2 | PBE | optimized geometry

The structure in extended XYZ format:
```
8
Lattice="3.165 -4.640 0.000 3.165 4.640 0.000 0.000 0.000 4.643" Properties=species:S:1:pos:R:3 pbc="T T T"
Mg 3.165 3.460 3.482
Mg 3.165 -3.460 1.161
In 3.165 1.233 1.161
In 3.165 -1.233 3.482
Pd 1.573 1.096 3.482
Pd 1.573 -1.096 1.161
Pd 4.757 1.096 3.482
Pd 4.757 -1.096 1.161
```

Calculated values
- Distance to the lowest polymorph of the same formula: 1 kJ/mol of formula units
- Energy relative to the elements: -0.67 eV/atom
- Crystal system: orthorhombic
- Space group: No. 63
- Density of states at the Fermi level: 0.264 states/eV per atom

=====

Entry 3:
MgInPd5 | PBE | optimized geometry

The structure in extended XYZ format:
```
7
Lattice="-2.590 2.628 4.655 2.590 -2.628 4.655 2.590 2.628 -4.655" Properties=species:S:1:pos:R:3 pbc="T T T"
Mg 0.000 0.000 0.000
In 0.000 2.628 2.670
Pd 1.308 2.628 -2.196
Pd 1.282 0.000 2.459
Pd 2.590 1.341 0.330
Pd 0.000 2.628 0.135
Pd 0.000 1.287 4.985
```

Calculated values
- Distance to the lowest polymorph of the same formula: 77 kJ/mol of formula units
- Energy relative to the elements: -0.23 eV/atom
- Crystal system: orthorhombic
- Space group: No. 44
- Density of states at the Fermi level: 0.689 states/eV per atom

=====

Entry 4:
MgIn4Pd | PBE | optimized geometry

The structure in extended XYZ format:
```
12
Lattice="-3.517 3.517 5.550 3.517 -3.517 5.550 3.517 3.517 -5.550" Properties=species:S:1:pos:R:3 pbc="T T T"
Mg 0.000 0.000 0.000
Mg 0.000 0.000 5.550
In 4.606 1.090 -1.548
In 1.090 2.427 -1.548
In 4.606 1.090 1.548
In 1.090 2.427 1.548
In 2.427 1.090 4.002
In -1.090 2.427 4.002
In 2.427 1.090 7.098
In -1.090 2.427 7.098
Pd 0.000 0.000 2.775
Pd 0.000 0.000 8.325
```

Calculated values
- Energy relative to the elements: -0.25 eV/atom
- Crystal system: tetragonal
- Space group: No. 140
- Density of states at the Fermi level: 0.358 states/eV per atom

=====

Question: What is the density of states at the Fermi level in the third record?
Answer: 0.689 states/eV per atom

=====

Question: Which of these has the lowest density of states at the Fermi level?
Answer: MgInPd2

=====

Question: Which formula does entry 4 have?
Answer: MgIn4Pd

=====

Question: The lowest density of states at the Fermi level belongs to which entry?
Answer: MgInPd2